Record 1
Here is an optimized crystal structure of NiRuAu from Alexandria. Energies are from GGA-PBE.

a b c (Å): 2.737 2.737 11.526
angles (deg): 90.00 90.00 90.00
Sites, in units of the cell vectors:
Ni  0.250  0.250  0.229
Ni  0.750  0.750  0.771
Ru  0.250  0.250  0.920
Ru  0.750  0.750  0.080
Au  0.250  0.250  0.602
Au  0.750  0.750  0.398

Calculated values
The value obtained for the volume is 86.32 Å³/cell. For the total energy, the calculation gives -0.220 hartree per atom. Its formation energy is 0.12 eV per atom. The value obtained for the total magnetization is 0.000 μB per cell.



Record 2
Here is an optimized crystal structure of NiRu2Au from Alexandria. Energies are from GGA-PBE.

a b c (Å): 2.706 3.847 5.521
angles (deg): 90.00 90.00 90.00
Sites, in units of the cell vectors:
Ni  0.000  0.000  0.000
Ru  0.500  0.500  0.219
Ru  0.500  0.500  0.781
Au  0.000  0.000  0.500

Calculated values
The value obtained for the volume is 57.46 Å³/cell. For the total energy, the calculation gives -0.240 hartree per atom. Its formation energy is 0.36 eV per atom. The value obtained for the total magnetization is 0.000 μB per cell.



Record 3
Here is an optimized crystal structure of NiRu2Au from Alexandria. Energies are from GGA-PBE.

a b c (Å): 2.704 4.226 5.174
angles (deg): 90.00 102.07 90.00
Sites, in units of the cell vectors:
Ni  0.000  0.000  0.000
Ru  0.372  0.500  0.224
Ru  0.628  0.500  0.776
Au  0.000  0.000  0.500

Calculated values
The value obtained for the volume is 57.82 Å³/cell. For the total energy, the calculation gives -0.238 hartree per atom. Its formation energy is 0.42 eV per atom. The value obtained for the total magnetization is 0.006 μB per cell.



Record 4
Here is an optimized crystal structure of NiRu2Au from Alexandria. Energies are from GGA-PBE.

a b c (Å): 2.752 2.752 7.561
angles (deg): 90.00 90.00 90.00
Sites, in units of the cell vectors:
Ni  0.000  0.000  0.000
Ru  0.000  0.000  0.460
Ru  0.500  0.500  0.233
Au  0.500  0.500  0.746

Calculated values
The value obtained for the volume is 57.25 Å³/cell. For the total energy, the calculation gives -0.247 hartree per atom. Its formation energy is 0.17 eV per atom. The value obtained for the total magnetization is 0.001 μB per cell.



Record 5
Here is an optimized crystal structure of Ni2RuAu from Alexandria. Energies are from GGA-PBE.

a b c (Å): 4.529 4.529 4.529
angles (deg): 129.01 129.01 75.00
Sites, in units of the cell vectors:
Ni  0.250  0.750  0.500
Ni  0.750  0.250  0.500
Ru  0.000  0.000  0.000
Au  0.500  0.500  0.000

Calculated values
The value obtained for the volume is 54.61 Å³/cell. For the total energy, the calculation gives -0.213 hartree per atom. Its formation energy is 0.24 eV per atom. The value obtained for the total magnetization is 2.975 μB per cell.



Record 6
Here is an optimized crystal structure of Ni2RuAu from Alexandria. Energies are from GGA-PBE.

a b c (Å): 4.291 4.291 4.291
angles (deg): 60.00 60.00 60.00
Sites, in units of the cell vectors:
Ni  0.000  0.000  0.000
Ni  0.250  0.250  0.250
Ru  0.500  0.500  0.500
Au  0.750  0.750  0.750

Calculated values
The value obtained for the volume is 55.88 Å³/cell. For the total energy, the calculation gives -0.206 hartree per atom. Its formation energy is 0.42 eV per atom. The value obtained for the total magnetization is 2.716 μB per cell.



| no. | relative energy among the computed polymorphs (meV per atom) |
| --- | --- |
| 1 | 0 |
| 2 | 185 |
| 3 | 251 |
| 4 | 0 |
| 5 | 104 |
| 6 | 279 |